Computed, not measured: crystalline Li2CoRe at its relaxed geometry at the GGA-PBE level of DFT.

## Properties
* D(E_F): 1.35 states/eV/cell
* formation energy from the elements: 0.30 eV/atom
* offset from the most stable computed form: 0.462 eV/f.u.

```
4
Lattice="0.000 2.864 2.864 2.864 0.000 2.864 2.864 2.864 0.000" Properties=species:S:1:pos:R:3 pbc="T T T"
Li 0.000 0.000 0.000
Li 1.432 1.432 1.432
Co 4.296 4.296 4.296
Re 2.864 2.864 2.864
```

Computed, not measured: crystalline LiCoRe2 at its relaxed geometry at the GGA-PBE level of DFT.

## Properties
* D(E_F): 3.57 states/eV/cell
* formation energy from the elements: 0.28 eV/atom
* offset from the most stable computed form: 0.471 eV/f.u.

```
4
Lattice="2.602 0.000 0.000 0.000 3.921 0.000 0.000 0.000 5.153" Properties=species:S:1:pos:R:3 pbc="T T T"
Li 0.000 0.000 0.000
Co 1.301 1.960 4.038
Re 0.000 0.000 2.657
Re 1.301 1.960 1.320
```

Computed, not measured: crystalline LiCoRe2 at its relaxed geometry at the GGA-PBE level of DFT.

## Properties
* D(E_F): 3.38 states/eV/cell
* formation energy from the elements: 0.27 eV/atom
* offset from the most stable computed form: 0.417 eV/f.u.

```
4
Lattice="-1.609 2.071 3.882 1.609 -2.071 3.882 1.609 2.071 -3.882" Properties=species:S:1:pos:R:3 pbc="T T T"
Li 0.000 0.000 0.000
Co 0.000 2.071 2.070
Re 1.609 0.000 2.035
Re 0.000 0.000 4.010
```

Computed, not measured: crystalline Li2CoRe at its relaxed geometry at the GGA-PBE level of DFT.

## Properties
* D(E_F): 3.27 states/eV/cell
* formation energy from the elements: 0.44 eV/atom
* offset from the most stable computed form: 1.023 eV/f.u.

```
4
Lattice="-1.336 2.222 4.124 1.336 -2.222 4.124 1.336 2.222 -4.124" Properties=species:S:1:pos:R:3 pbc="T T T"
Li 0.000 0.000 0.000
Li 0.000 2.222 2.167
Co 0.000 0.000 4.289
Re 1.336 0.000 2.282
```

Final energy for every record listed, in sequence, given in eV/cell: -22.20; -32.80; -32.85; -21.64.